[1]
Here is crystalline Y2Ni17 at its relaxed geometry from Alexandria. Energies are from GGA-PBE.

Unit cell a=8.299 b=8.299 c=8.027 alpha=90.00 beta=90.00 gamma=120.00
Sites, in units of the cell vectors:
Y (0.000, 0.000, 0.250)
Y (0.000, 0.000, 0.750)
Y (0.333, 0.667, 0.250)
Y (0.667, 0.333, 0.750)
Ni (0.000, 0.500, 0.000)
Ni (0.000, 0.500, 0.500)
Ni (0.044, 0.372, 0.750)
Ni (0.044, 0.672, 0.750)
Ni (0.166, 0.332, 0.021)
Ni (0.166, 0.332, 0.479)
Ni (0.166, 0.834, 0.021)
Ni (0.166, 0.834, 0.479)
Ni (0.328, 0.372, 0.750)
Ni (0.328, 0.956, 0.750)
Ni (0.332, 0.166, 0.521)
Ni (0.332, 0.166, 0.979)
Ni (0.333, 0.667, 0.602)
Ni (0.333, 0.667, 0.898)
Ni (0.372, 0.044, 0.250)
Ni (0.372, 0.328, 0.250)
Ni (0.500, 0.000, 0.000)
Ni (0.500, 0.000, 0.500)
Ni (0.500, 0.500, 0.000)
Ni (0.500, 0.500, 0.500)
Ni (0.628, 0.672, 0.750)
Ni (0.628, 0.956, 0.750)
Ni (0.667, 0.333, 0.102)
Ni (0.667, 0.333, 0.398)
Ni (0.668, 0.834, 0.021)
Ni (0.668, 0.834, 0.479)
Ni (0.672, 0.044, 0.250)
Ni (0.672, 0.628, 0.250)
Ni (0.834, 0.166, 0.521)
Ni (0.834, 0.166, 0.979)
Ni (0.834, 0.668, 0.521)
Ni (0.834, 0.668, 0.979)
Ni (0.956, 0.328, 0.250)
Ni (0.956, 0.628, 0.250)

Summary:
electronic total energy = -0.222 hartree per atom
calculated formation energy = -0.193 eV/atom
magnetic moment = 13.998 μB/cell



[2]
Here is crystalline ErLuAlAg at its relaxed geometry from Alexandria. Energies are from GGA-PBE.

Unit cell a=5.075 b=5.075 c=5.075 alpha=60.00 beta=60.00 gamma=60.00
Sites, in units of the cell vectors:
Er (0.000, 0.000, 0.000)
Lu (0.500, 0.500, 0.500)
Al (0.750, 0.750, 0.750)
Ag (0.250, 0.250, 0.250)

Summary:
electronic total energy = -0.157 hartree per atom
calculated formation energy = -0.352 eV/atom
magnetic moment = 0.000 μB/cell